{
  "formula": "RbInIr2O8",
  "functional": "PBE",
  "state": "optimized geometry",
  "lattice_angstrom": [[5.7544, 0.0000, 0.0000], [-2.8772, 4.9835, 0.0000], [0.0000, 0.0000, 7.5443]],
  "species": ["Rb", "In", "Ir", "Ir", "O", "O", "O", "O", "O", "O", "O", "O"],
  "frac_coords": [[0.0000, 0.0000, 0.0000], [0.0000, 0.0000, 0.5000], [0.3333, 0.6667, 0.7715], [0.6667, 0.3333, 0.2285], [0.1610, 0.3220, 0.6883], [0.1610, 0.8390, 0.6883], [0.3220, 0.1610, 0.3117], [0.3333, 0.6667, 0.0077], [0.6667, 0.3333, 0.9923], [0.6780, 0.8390, 0.6883], [0.8390, 0.1610, 0.3117], [0.8390, 0.6780, 0.3117]],
  "magmom_total_mub_per_cell": 2.00
}

---

{
  "formula": "TaIn7IrO8",
  "functional": "PBE",
  "state": "optimized geometry",
  "lattice_angstrom": [[0.0000, 5.1868, 5.1868], [5.1868, 0.0000, 5.1868], [5.1868, 5.1868, 0.0000]],
  "species": ["Ta", "In", "In", "In", "In", "In", "In", "In", "Ir", "O", "O", "O", "O", "O", "O", "O", "O"],
  "frac_coords": [[0.0000, 0.0000, 0.0000], [0.0013, 0.0013, 0.4987], [0.0013, 0.4987, 0.0013], [0.0013, 0.4987, 0.4987], [0.4987, 0.0013, 0.0013], [0.4987, 0.0013, 0.4987], [0.4987, 0.4987, 0.0013], [0.5000, 0.5000, 0.5000], [0.7500, 0.7500, 0.7500], [0.1036, 0.1036, 0.1036], [0.1036, 0.1036, 0.6893], [0.1036, 0.6893, 0.1036], [0.3720, 0.3720, 0.3720], [0.3720, 0.3720, 0.8839], [0.3720, 0.8839, 0.3720], [0.6893, 0.1036, 0.1036], [0.8839, 0.3720, 0.3720]],
  "magmom_total_mub_per_cell": 0.00
}

---

For each record above, in turn, the calculated calculated total energy values are -5.7317; -6.1285 eV per atom.